Entry from Alexandria: a PBEsol-optimized structure of Pr7In6Ni5Ge3 (SCAN).

Unit cell a=4.1438 b=11.2758 c=11.2758 alpha=120.00 beta=90.00 gamma=90.00
Element x y z (fractional)
Pr: 0.0000 0.6667 0.3333
Pr: 0.0000 0.2871 0.0384
Pr: 0.0000 0.9616 0.2487
Pr: 0.0000 0.7513 0.7129
Pr: 0.0000 0.0468 0.6393
Pr: 0.0000 0.3607 0.4075
Pr: 0.0000 0.5925 0.9532
In: 0.5000 0.1510 0.1666
In: 0.5000 0.8334 0.9844
In: 0.5000 0.0156 0.8490
In: 0.5000 0.1859 0.4981
In: 0.5000 0.5019 0.6878
In: 0.5000 0.3122 0.8141
Ni: 0.0000 0.0000 0.0000
Ni: 0.0000 0.3333 0.6667
Ni: 0.5000 0.8308 0.5809
Ni: 0.5000 0.4191 0.2499
Ni: 0.5000 0.7501 0.1692
Ge: 0.5000 0.5137 0.1018
Ge: 0.5000 0.8982 0.4119
Ge: 0.5000 0.5881 0.4863

Output
Its crystal system is hexagonal. As for the space-group type: P-6. The formation energy is -0.6810 eV/atom.

---

Entry from Alexandria: a PBEsol-optimized structure of Cr2GaNiSn (SCAN).

Unit cell a=4.5594 b=4.5594 c=4.9515 alpha=90.00 beta=90.00 gamma=90.00
Site moments in Bohr magnetons follow the coordinates.
Element x y z (fractional)
Ni: 0.5000 0.5000 0.5000  1.10
Sn: 0.0000 0.0000 0.5000  -0.07
Ga: 0.0000 0.0000 0.0000  -0.01
Cr: 0.0000 0.5000 0.0000  3.70
Cr: 0.5000 0.0000 0.0000  3.70

Output
Its crystal system is tetragonal. As for the space-group type: P4/mmm. The formation energy is 1.1280 eV/atom.

---

Entry from Alexandria: a PBEsol-optimized structure of Cu2RhAu (SCAN).

Unit cell a=2.9918 b=3.0249 c=5.8781 alpha=90.00 beta=90.00 gamma=90.00
Site moments in Bohr magnetons follow the coordinates.
Element x y z (fractional)
Au: 0.5000 0.5000 0.5000  -0.01
Rh: 0.5000 0.5000 0.0000  0.44
Cu: 0.0000 0.0000 0.7632  0.07
Cu: 0.0000 0.0000 0.2368  0.07

Output
Its crystal system is orthorhombic. As for the space-group type: Pmmm. The formation energy is 0.0276 eV/atom.

---

Entry from Alexandria: a PBEsol-optimized structure of ZrZn2InRh (SCAN).

Unit cell a=4.5920 b=4.5920 c=5.3687 alpha=90.00 beta=90.00 gamma=90.00
Element x y z (fractional)
Zn: 0.0000 0.5000 0.0000
Zn: 0.5000 0.0000 0.0000
Rh: 0.5000 0.5000 0.5000
Zr: 0.0000 0.0000 0.5000
In: 0.0000 0.0000 0.0000

Output
Its crystal system is tetragonal. As for the space-group type: P4/mmm. The formation energy is 1.0374 eV/atom.

---

Entry from Alexandria: a PBEsol-optimized structure of LiRePb2 (SCAN).

Unit cell a=3.4808 b=4.4077 c=5.4290 alpha=90.00 beta=108.70 gamma=90.00
Element x y z (fractional)
Li: 0.6683 0.5000 0.3366
Pb: 0.1122 0.0000 0.2245
Pb: 0.3874 0.5000 0.7747
Re: 0.8302 0.0000 0.6604

Output
Its crystal system is orthorhombic. As for the space-group type: Amm2. The calculation puts the energy above the most stable polymorph in this dataset at 0.00 kcal/mol of atoms. The formation energy is 0.5103 eV/atom.

---

Entry from Alexandria: a PBEsol-optimized structure of RhINO2 (SCAN).

Unit cell a=3.8721 b=3.9432 c=3.9432 alpha=90.00 beta=90.00 gamma=90.00
Element x y z (fractional)
I: 0.5000 0.5000 0.5000
Rh: 0.0000 0.0000 0.0000
O: 0.0000 0.0000 0.5000
O: 0.0000 0.5000 0.0000
N: 0.5000 0.0000 0.0000

Output
Its crystal system is tetragonal. As for the space-group type: P4/mmm. The raw formation energy comes out at 2.3 eV per formula unit.

---

Entry from Alexandria: a PBEsol-optimized structure of Zn2FeOs (SCAN).

Unit cell a=2.6134 b=2.6134 c=8.6110 alpha=90.00 beta=90.00 gamma=115.56
Site moments in Bohr magnetons follow the coordinates.
Element x y z (fractional)
Fe: 0.0000 0.0000 0.4996  2.76
Os: 0.5000 0.5000 0.2613  0.07
Zn: 0.0000 0.0000 0.9992  -0.01
Zn: 0.5000 0.5000 0.7399  -0.05

Output
Its crystal system is orthorhombic. As for the space-group type: Cmm2. The calculation puts the energy above the most stable polymorph in this dataset at 1.02 kcal/mol of atoms. The formation energy is 0.1381 eV/atom.

---

Entry from Alexandria: a PBEsol-optimized structure of K2TaP (SCAN).

Unit cell a=3.8221 b=3.8221 c=5.8098 alpha=90.00 beta=90.00 gamma=90.00
Element x y z (fractional)
K: 0.0000 0.5000 0.0000
K: 0.5000 0.0000 0.0000
P: 0.5000 0.5000 0.5000
Ta: 0.0000 0.0000 0.5000

Output
Its crystal system is tetragonal. As for the space-group type: P4/mmm. The formation energy is 0.7696 eV/atom.

---

Entry from Alexandria: a PBEsol-optimized structure of HgTe2Se (SCAN).

Unit cell a=3.9961 b=4.0055 c=7.3628 alpha=90.00 beta=90.00 gamma=90.00
Element x y z (fractional)
Hg: 0.5000 0.5000 0.0000
Se: 0.0000 0.5000 0.5000
Te: 0.0000 0.0000 0.0000
Te: 0.5000 0.0000 0.5000

Output
Its crystal system is orthorhombic. As for the space-group type: Pmmm. The calculation puts the energy above the most stable polymorph in this dataset at 0.00 kcal/mol of atoms. The raw formation energy comes out at 0.4 eV per formula unit.

---

Entry from Alexandria: a PBEsol-optimized structure of Tc2Sb (SCAN).

Unit cell a=4.2847 b=4.2847 c=4.2847 alpha=60.00 beta=60.00 gamma=60.00
Element x y z (fractional)
Sb: 0.0000 0.0000 0.0000
Tc: 0.7500 0.7500 0.7500
Tc: 0.2500 0.2500 0.2500

Output
Its crystal system is cubic. As for the space-group type: Fm-3m. The raw formation energy comes out at 2.4 eV per formula unit.

---

Entry from Alexandria: a PBEsol-optimized structure of CaZr2Si (SCAN).

Unit cell a=3.0743 b=3.0743 c=9.3716 alpha=90.00 beta=90.00 gamma=90.00
Element x y z (fractional)
Ca: 0.5000 0.5000 0.0000
Si: 0.5000 0.5000 0.5000
Zr: 0.0000 0.0000 0.6894
Zr: 0.0000 0.0000 0.3106

Output
Its crystal system is tetragonal. As for the space-group type: P4/mmm. The raw formation energy comes out at -0.3 eV per formula unit.

---

Entry from Alexandria: a PBEsol-optimized structure of La2CrBr (SCAN).

Unit cell a=3.5549 b=4.9391 c=6.0007 alpha=90.00 beta=90.00 gamma=90.00
Site moments in Bohr magnetons follow the coordinates.
Element x y z (fractional)
Br: 0.0000 0.0000 0.3751  -0.01
Cr: 0.5000 0.5000 0.8750  3.63
La: 0.0000 0.0000 0.8751  -0.12
La: 0.5000 0.5000 0.3747  -0.22

Output
Its crystal system is orthorhombic. As for the space-group type: Pmmm. The calculation puts the energy above the most stable polymorph in this dataset at 0.75 kcal/mol of atoms. The raw formation energy comes out at -2.0 eV per formula unit.

---

Entry from Alexandria: a PBEsol-optimized structure of TcSb2Te (SCAN).

Unit cell a=3.1346 b=3.1346 c=10.0184 alpha=90.00 beta=90.00 gamma=113.27
Element x y z (fractional)
Sb: 0.0000 0.0000 0.9969
Sb: 0.5000 0.5000 0.7053
Tc: 0.0000 0.0000 0.5019
Te: 0.5000 0.5000 0.2959

Output
Its crystal system is orthorhombic. As for the space-group type: Cmm2. The calculation puts the energy above the most stable polymorph in this dataset at 0.00 kcal/mol of atoms. The raw formation energy comes out at 1.9 eV per formula unit.

---

Entry from Alexandria: a PBEsol-optimized structure of ThZn2 (SCAN).

Unit cell a=3.5352 b=4.4946 c=4.4946 alpha=120.00 beta=90.00 gamma=90.00
Element x y z (fractional)
Zn: 0.0000 0.6667 0.3333
Zn: 0.0000 0.3333 0.6667
Th: 0.5000 0.0000 0.0000

Output
Its crystal system is hexagonal. As for the space-group type: P6/mmm. The formation energy is -0.2943 eV/atom.